Density functional theory data (PBE) for a geometry-optimized Pm2MgFe structure.

Unit cell a=3.7147 b=3.7147 c=27.1545 alpha=90.00 beta=90.00 gamma=120.00
Closest atoms and distances in Å follow each position.
Space group R-3m (No. 166, hexagonal axes)
Asymmetric unit:
Pm 0.0000 0.0000 0.2315 [6 per cell]  3 Fe 2.78
Mg 0.0000 0.0000 0.0000 [3 per cell]  6 Pm 3.50, 6 Mg 3.71
Fe 0.0000 0.0000 0.5000 [3 per cell]  6 Pm 2.78

Summary:
E_form ... 227 meV/atom

---

Density functional theory data (PBE) for a geometry-optimized Pr3MgFe structure.

Unit cell a=5.3574 b=5.3574 c=5.3574 alpha=90.00 beta=90.00 gamma=90.00
Closest atoms and distances in Å follow each position.
Space group Pm-3m (No. 221)
Asymmetric unit:
Pr 0.0000 0.0000 0.5000 [3 per cell]  2 Fe 2.68
Mg 0.5000 0.5000 0.5000 [1 per cell]  12 Pr 3.79
Fe 0.0000 0.0000 0.0000 [1 per cell]  6 Pr 2.68

Summary:
E_form ... 128 meV/atom

---

Density functional theory data (PBE) for a geometry-optimized Pr2MgFe structure.

Unit cell a=3.5788 b=3.5788 c=8.2682 alpha=90.00 beta=90.00 gamma=90.00
Closest atoms and distances in Å follow each position.
Space group P4/mmm (No. 123)
Asymmetric unit:
Pr 0.0000 0.0000 0.2069 [2 per cell]  4 Fe 3.05
Mg 0.5000 0.5000 0.5000 [1 per cell]  8 Pr 3.50, 4 Mg 3.58
Fe 0.5000 0.5000 0.0000 [1 per cell]  8 Pr 3.05

Summary:
E_form ... 105 meV/atom

---

Density functional theory data (PBE) for a geometry-optimized Mg2FePt2 structure.

Unit cell a=6.5271 b=6.5271 c=4.0207 alpha=90.00 beta=90.00 gamma=90.00
Closest atoms and distances in Å follow each position.
Space group P4/mbm (No. 127)
Asymmetric unit:
Mg 0.1659 0.3340 0.0000 [4 per cell]  6 Pt 2.68-2.85
Fe 0.0000 0.0000 0.5000 [2 per cell]  4 Pt 2.51
Pt 0.1421 0.6421 0.5000 [4 per cell]  2 Fe 2.51, 1 Pt 2.62, 2 Mg 2.68

Summary:
E_form ... -454 meV/atom